[1]
First-principles (PBE) data for a relaxed Tm4SbRh crystal, as listed in the Alexandria database.

abc: 4.0381 8.0097 18.8773
angles: 90.00 90.00 90.00
Last column: nearest neighbours and their distance in Å.
Sites, in units of the cell vectors:
Tm  0.7500  0.8611  0.6458  2 Rh 2.84, 1 Sb 3.15
Tm  0.2500  0.1389  0.3542  2 Rh 2.84, 1 Sb 3.15
Tm  0.2500  0.6389  0.1458  2 Rh 2.84, 1 Sb 3.15
Tm  0.7500  0.3611  0.8542  2 Rh 2.84, 1 Sb 3.15
Tm  0.7500  0.8577  0.4483  3 Rh 2.91-3.10
Tm  0.2500  0.1423  0.5517  3 Rh 2.91-3.10
Tm  0.2500  0.6423  0.9483  3 Rh 2.91-3.10
Tm  0.7500  0.3577  0.0517  3 Rh 2.91-3.10
Tm  0.7500  0.9987  0.9322  3 Rh 2.90-3.02, 1 Sb 3.10
Tm  0.2500  0.0013  0.0678  3 Rh 2.90-3.02, 1 Sb 3.10
Tm  0.2500  0.5013  0.4322  3 Rh 2.90-3.02, 1 Sb 3.10
Tm  0.7500  0.4987  0.5678  3 Rh 2.90-3.02, 1 Sb 3.10
Tm  0.7500  0.9587  0.2151  4 Sb 3.14-3.18, 2 Tm 3.45
Tm  0.2500  0.0413  0.7849  4 Sb 3.14-3.18, 2 Tm 3.45
Tm  0.2500  0.5413  0.7151  4 Sb 3.14-3.18, 2 Tm 3.45
Tm  0.7500  0.4587  0.2849  4 Sb 3.14-3.18, 2 Tm 3.45
Sb  0.7500  0.7403  0.8101  9 Tm 3.10-3.39
Sb  0.2500  0.2597  0.1899  9 Tm 3.10-3.39
Sb  0.2500  0.7597  0.3101  9 Tm 3.10-3.39
Sb  0.7500  0.2403  0.6899  9 Tm 3.10-3.39
Rh  0.7500  0.2445  0.4499  8 Tm 2.84-3.10
Rh  0.2500  0.7555  0.5501  8 Tm 2.84-3.10
Rh  0.2500  0.2555  0.9499  8 Tm 2.84-3.10
Rh  0.7500  0.7445  0.0501  8 Tm 2.84-3.10

- M_tot: 0.0535 μB/atom
- Crystal system: orthorhombic
- E_tot: -5.629 eV/atom
- Space group: Pnma, No. 62
- Formation energy (no corrections): -736 meV/atom

[2]
First-principles (PBE) data for a relaxed La6HoTl2 crystal, as listed in the Alexandria database.

abc: 6.0588 10.1562 10.1562
angles: 72.76 82.65 82.65
Last column: nearest neighbours and their distance in Å.
Sites, in units of the cell vectors:
La  0.4559  0.6706  0.4420  3 La 3.31-3.33, 4 Tl 3.34-3.54, 1 Ho 3.42
La  0.0441  0.5580  0.3294  3 La 3.31-3.33, 4 Tl 3.34-3.54, 1 Ho 3.42
La  0.5441  0.3294  0.5580  3 La 3.31-3.33, 4 Tl 3.34-3.54, 1 Ho 3.42
La  0.9559  0.4420  0.6706  3 La 3.31-3.33, 4 Tl 3.34-3.54, 1 Ho 3.42
La  0.6614  0.1173  0.3600  4 La 3.32-3.65, 4 Tl 3.40-3.57
La  0.8386  0.6400  0.8827  4 La 3.32-3.65, 4 Tl 3.40-3.57
La  0.3386  0.8827  0.6400  4 La 3.32-3.65, 4 Tl 3.40-3.57
La  0.1614  0.3600  0.1173  4 La 3.32-3.65, 4 Tl 3.40-3.57
La  0.3036  0.7779  0.9921  5 La 3.40-3.77, 3 Ho 3.56-3.61, 2 Tl 3.57-3.72
La  0.1964  0.0079  0.2221  5 La 3.40-3.77, 3 Ho 3.56-3.61, 2 Tl 3.57-3.72
La  0.6964  0.2221  0.0079  5 La 3.40-3.77, 3 Ho 3.56-3.61, 2 Tl 3.57-3.72
La  0.8036  0.9921  0.7779  5 La 3.40-3.77, 3 Ho 3.56-3.61, 2 Tl 3.57-3.72
Ho  0.2500  0.1478  0.8522  8 La 3.42-3.61, 2 Tl 3.82
Ho  0.7500  0.8522  0.1478  8 La 3.42-3.61, 2 Tl 3.82
Tl  0.3951  0.5169  0.7944  10 La 3.34-3.72
Tl  0.1049  0.2056  0.4831  10 La 3.34-3.72
Tl  0.6049  0.4831  0.2056  10 La 3.34-3.72
Tl  0.8951  0.7944  0.5169  10 La 3.34-3.72

- M_tot: 0.0000 μB/atom
- Crystal system: monoclinic
- E_tot: -4.481 eV/atom
- ΔH_f (0 K): -0.1616 eV/atom
- Space group: C2/c, No. 15

[3]
First-principles (PBE) data for a relaxed SrLi2As2 crystal, as listed in the Alexandria database.

abc: 4.3706 4.3706 6.2716
angles: 69.61 69.61 90.00
Last column: nearest neighbours and their distance in Å.
Sites, in units of the cell vectors:
Sr  0.0000  0.0000  0.0000  8 As 3.34, 8 Li 3.50
As  0.3829  0.3829  0.2342  1 As 2.56, 4 Li 2.62
As  0.6171  0.6171  0.7658  1 As 2.56, 4 Li 2.62
Li  0.7500  0.2500  0.5000  4 As 2.62
Li  0.2500  0.7500  0.5000  4 As 2.62

- M_tot: 0.0000 μB/atom
- Crystal system: tetragonal
- E_tot: -3.809 eV/atom
- ΔH_f (0 K): -0.8478 eV/atom
- Space group: I4/mmm, No. 139

[4]
First-principles (PBE) data for a relaxed TaIr2Se crystal, as listed in the Alexandria database.

abc: 4.9513 4.9513 4.9513
angles: 132.73 132.73 69.07
Last column: nearest neighbours and their distance in Å.
Sites, in units of the cell vectors:
Ir  0.0000  0.0000  0.0000  4 Se 2.81, 4 Ir 2.85, 4 Ta 2.85
Ir  0.2500  0.7500  0.5000  4 Ta 2.81, 4 Ir 2.85, 4 Se 2.85
Se  0.5000  0.5000  0.0000  8 Ir 2.81-2.85, 4 Ta 2.85
Ta  0.7500  0.2500  0.5000  8 Ir 2.81-2.85, 4 Se 2.85

- M_tot: 0.0000 μB/atom
- Crystal system: tetragonal
- E_tot: -8.121 eV/atom
- Space group: I-4m2, No. 119
- Formation energy (no corrections): 144 meV/atom

[5]
First-principles (PBE) data for a relaxed LaCuH8Ir2 crystal, as listed in the Alexandria database.

abc: 4.7689 4.7689 6.2650
angles: 67.63 67.63 60.00
Last column: nearest neighbours and their distance in Å.
Sites, in units of the cell vectors:
La  0.5000  0.5000  0.5000  6 H 2.46
Cu  0.0000  0.0000  0.0000  6 H 1.83
H  0.1924  0.1924  0.4227  1 Ir 1.66
H  0.6260  0.3082  0.1479  1 Ir 1.70, 1 Cu 1.83
H  0.8076  0.8076  0.5773  1 Ir 1.66
H  0.9178  0.6260  0.1479  1 Ir 1.70, 1 Cu 1.83
H  0.0822  0.3740  0.8521  1 Ir 1.70, 1 Cu 1.83
H  0.3082  0.9178  0.1479  1 Ir 1.70, 1 Cu 1.83
H  0.6918  0.0822  0.8521  1 Ir 1.70, 1 Cu 1.83
H  0.3740  0.6918  0.8521  1 Ir 1.70, 1 Cu 1.83
Ir  0.2909  0.2909  0.1273  4 H 1.66-1.70
Ir  0.7091  0.7091  0.8727  4 H 1.66-1.70

- M_tot: 0.0000 μB/atom
- Crystal system: trigonal
- E_tot: -4.619 eV/atom
- Space group: R-3, No. 148

[6]
First-principles (PBE) data for a relaxed Ga2BPt2 crystal, as listed in the Alexandria database.

abc: 5.8746 5.8746 4.5010
angles: 90.00 90.00 90.00
Last column: nearest neighbours and their distance in Å.
Sites, in units of the cell vectors:
B  0.0000  0.0000  0.0000  4 Pt 2.14
B  0.5000  0.5000  0.0000  4 Pt 2.14
Ga  0.1533  0.6533  0.5000  1 Ga 2.55, 2 Pt 2.61
Ga  0.6533  0.8467  0.5000  1 Ga 2.55, 2 Pt 2.61
Ga  0.8467  0.3467  0.5000  1 Ga 2.55, 2 Pt 2.61
Ga  0.3467  0.1533  0.5000  1 Ga 2.55, 2 Pt 2.61
Pt  0.3130  0.8130  0.0000  2 B 2.14
Pt  0.8130  0.6870  0.0000  2 B 2.14
Pt  0.6870  0.1870  0.0000  2 B 2.14
Pt  0.1870  0.3130  0.0000  2 B 2.14

- M_tot: 0.0000 μB/atom
- Crystal system: tetragonal
- E_tot: -5.052 eV/atom
- ΔH_f (0 K): -0.0892 eV/atom
- Space group: P4/mbm, No. 127